Record 1
DFT (PBE-GGA) results for an optimized crystal structure of Rb2TmOs3O12.

Geometry as POSCAR:
```
Rb2TmOs3O12
1.0
-7.040 2.565 0.583
-4.261 -1.505 6.006
-1.855 5.337 4.956
Rb Tm Os O
2 1 3 12
direct
0.620 0.620 0.620
0.380 0.380 0.380
0.000 0.000 0.000
0.500 0.000 0.000
0.000 0.500 0.000
0.000 0.000 0.500
0.305 0.305 0.925
0.925 0.925 0.353
0.353 0.925 0.925
0.925 0.305 0.305
0.925 0.353 0.925
0.305 0.925 0.305
0.695 0.695 0.075
0.075 0.075 0.647
0.647 0.075 0.075
0.075 0.695 0.695
0.075 0.647 0.075
0.695 0.075 0.695
```

Calculated values
**SG**: No. 166
**M_tot**: 2.23 μB/f.u.
**Energy relative to the elements, uncorrected**: -1.51 eV per atom

=====

Record 2
DFT (PBE-GGA) results for an optimized crystal structure of MnCu3Cl8.

Geometry as POSCAR:
```
MnCu3Cl8
1.0
3.861 0.000 -1.137
-0.546 11.446 -1.855
-0.052 0.193 6.948
Mn Cu Cl
1 3 8
direct
0.308 0.731 0.616
0.398 0.255 0.795
0.640 0.234 0.280
0.558 0.858 0.115
0.463 0.669 0.926
0.396 0.916 0.792
0.906 0.169 0.812
0.230 0.284 0.460
0.759 0.627 0.518
0.155 0.806 0.310
0.544 0.378 0.087
0.642 0.042 0.285
```

Calculated values
**SG**: No. 8
**M_tot**: 5.73 μB/f.u.
**Energy relative to the elements, uncorrected**: -0.60 eV per atom

=====

Record 3
DFT (PBE-GGA) results for an optimized crystal structure of NdSm5Ho.

Geometry as POSCAR:
```
NdSm5Ho
1.0
6.249 0.000 0.000
0.000 8.013 0.000
-3.125 -4.007 5.884
Nd Sm Ho
1 5 1
direct
0.930 0.000 0.000
0.189 0.252 0.505
0.168 0.500 0.000
0.684 0.748 0.495
0.432 0.820 0.000
0.432 0.180 0.000
0.695 0.500 0.000
```

Calculated values
**SG**: No. 44
**M_tot**: 0.00 μB/f.u.
**E_form**: 0.88 eV per atom
**Offset from the most stable computed form**: 0.705 eV per atom

=====

Record 4
DFT (PBE-GGA) results for an optimized crystal structure of CaHgIr.

Geometry as POSCAR:
```
CaHgIr
1.0
6.014 -0.119 0.129
5.113 3.169 0.128
0.901 0.248 3.279
Ca Ir Hg
1 1 1
direct
0.015 0.015 0.985
0.673 0.673 0.327
0.312 0.312 0.688
```

Calculated values
**SG**: No. 107
**M_tot**: 0.00 μB/f.u.
**E_form**: -0.03 eV per atom

=====

Record 5
DFT (PBE-GGA) results for an optimized crystal structure of SmInSeS.

Geometry as POSCAR:
```
SmInSeS
1.0
4.146 -0.001 0.000
-2.073 3.591 0.000
-2.072 -1.196 7.794
Sm In Se S
1 1 1 1
direct
0.312 0.554 0.881
0.974 0.385 0.373
0.493 0.144 0.653
0.100 0.948 0.063
```

Calculated values
**SG**: No. 160
**M_tot**: 0.00 μB/f.u.
**Energy relative to the elements, uncorrected**: -1.32 eV per atom

=====

Record 6
DFT (PBE-GGA) results for an optimized crystal structure of NaCaC2Cl.

Geometry as POSCAR:
```
NaCaC2Cl
1.0
4.515 0.000 0.000
0.000 4.968 0.000
0.000 0.000 4.515
Na Ca C Cl
1 1 2 1
direct
0.000 0.000 0.000
0.500 0.500 0.500
0.000 0.000 0.500
0.500 0.000 0.000
0.000 0.500 0.000
```

Calculated values
**SG**: No. 123
**M_tot**: 3.51 μB/f.u.
**Energy relative to the elements, uncorrected**: 1.54 eV per atom

=====

Record 7
DFT (PBE-GGA) results for an optimized crystal structure of TbNd2Er5Th.

Geometry as POSCAR:
```
TbNd2Er5Th
1.0
-3.795 3.509 6.979
0.568 -7.614 4.138
8.496 4.053 -2.822
Tb Nd Er Th
2 4 10 2
direct
0.250 0.750 0.500
0.750 0.250 0.500
0.116 0.384 0.000
0.616 0.116 0.000
0.384 0.884 0.000
0.884 0.616 0.000
0.927 0.427 0.279
0.647 0.147 0.721
0.073 0.573 0.721
0.147 0.073 0.721
0.573 0.647 0.721
0.853 0.927 0.279
0.427 0.353 0.279
0.353 0.853 0.279
0.500 0.500 0.000
0.000 0.000 0.000
0.250 0.250 0.500
0.750 0.750 0.500
```

Calculated values
**SG**: No. 140
**M_tot**: 0.00 μB/f.u.
**E_form**: 0.29 eV per atom

=====

Record 8
DFT (PBE-GGA) results for an optimized crystal structure of Sc6TlRh5.

Geometry as POSCAR:
```
Sc6TlRh5
1.0
-2.819 -3.081 1.859
4.878 -4.737 -0.452
1.224 5.632 5.568
Sc Tl Rh
6 1 5
direct
0.828 0.568 0.655
0.828 0.087 0.655
0.500 0.729 0.000
0.500 0.271 0.000
0.172 0.913 0.345
0.172 0.432 0.345
0.000 0.000 0.000
0.666 0.166 0.333
0.333 0.333 0.665
0.000 0.500 0.000
0.667 0.667 0.335
0.334 0.834 0.667
```

Calculated values
**SG**: No. 71
**M_tot**: 0.00 μB/f.u.
**E_form**: -0.83 eV per atom

=====

Record 9
DFT (PBE-GGA) results for an optimized crystal structure of UTl2S2F2.

Geometry as POSCAR:
```
UTl2S2F2
1.0
5.416 0.000 0.000
0.000 5.416 0.000
-2.708 -2.708 6.935
U Tl S F
1 2 2 2
direct
0.000 0.000 0.000
0.366 0.366 0.731
0.634 0.634 0.269
0.000 0.500 0.000
0.500 0.000 0.000
0.153 0.153 0.306
0.847 0.847 0.694
```

Calculated values
**SG**: No. 139
**M_tot**: 2.00 μB/f.u.
**Energy relative to the elements, uncorrected**: -1.72 eV per atom

=====

Record 10
DFT (PBE-GGA) results for an optimized crystal structure of BaTb2Ho.

Geometry as POSCAR:
```
BaTb2Ho
1.0
-2.734 -1.002 2.280
-0.364 -3.188 -1.839
7.156 -4.600 6.558
Tb Ho Ba
2 1 1
direct
0.000 0.000 0.784
0.000 0.000 0.216
0.500 0.500 0.000
0.500 0.500 0.500
```

Calculated values
**SG**: No. 123
**M_tot**: 0.00 μB/f.u.
**E_form**: 0.15 eV per atom
**Offset from the most stable computed form**: 0.000 eV per atom

=====

Record 11
DFT (PBE-GGA) results for an optimized crystal structure of BeSi2Cl.

Geometry as POSCAR:
```
BeSi2Cl
1.0
-0.765 1.247 -5.144
-2.044 -4.864 -0.876
-6.586 0.145 -1.766
Be Si Cl
2 4 2
direct
0.500 0.500 0.000
0.250 0.750 0.500
0.524 0.125 0.250
0.226 0.625 0.250
0.375 0.476 0.750
0.875 0.774 0.750
0.000 0.000 0.000
0.750 0.250 0.500
```

Calculated values
**SG**: No. 122
**M_tot**: 0.00 μB/f.u.
**Offset from the most stable computed form**: 0.336 eV per atom
**Energy relative to the elements, uncorrected**: 0.52 eV per atom

=====

Record 12
DFT (PBE-GGA) results for an optimized crystal structure of YZnNiAg.

Geometry as POSCAR:
```
YZnNiAg
1.0
4.677 0.000 0.000
2.339 4.051 0.000
2.339 1.350 3.819
Y Ni Zn Ag
1 1 1 1
direct
0.750 0.750 0.750
0.000 0.000 0.000
0.250 0.250 0.250
0.500 0.500 0.500
```

Calculated values
**SG**: No. 216
**M_tot**: 0.00 μB/f.u.
**E_form**: -0.19 eV per atom